SmAgSe2 (PBE, relaxed); V = 25.20 Å³/atom; SG = R3m, No. 160
1.0
-2.973 1.575 -2.346
-2.406 -2.485 -2.205
-6.209 -0.736 3.790
Sm Ag Se
1 1 2
direct
0.500 0.500 0.500
0.668 0.668 0.996
0.080 0.080 0.759
0.252 0.252 0.244


Sm2Ag4Se5 (PBE, relaxed); V = 26.04 Å³/atom; SG = R-3m, No. 166
1.0
4.280 0.000 0.000
2.140 3.706 0.000
2.140 1.235 18.056
Sm Ag Se
2 4 5
direct
0.135 0.135 0.595
0.865 0.865 0.405
0.688 0.688 0.936
0.585 0.585 0.244
0.415 0.415 0.756
0.312 0.312 0.064
0.772 0.772 0.684
0.633 0.633 0.102
0.500 0.500 0.500
0.367 0.367 0.898
0.228 0.228 0.316


SmAg2Se3 (PBE, relaxed); V = 24.86 Å³/atom; SG = Cmcm, No. 63
1.0
-1.825 -4.991 0.279
5.989 -2.434 -4.355
1.573 -0.148 7.633
Sm Ag Se
2 4 6
direct
0.250 0.264 0.736
0.750 0.736 0.264
0.000 0.210 0.210
0.500 0.210 0.210
0.000 0.790 0.790
0.500 0.790 0.790
0.750 0.130 0.870
0.750 0.143 0.472
0.250 0.472 0.143
0.750 0.528 0.857
0.250 0.857 0.528
0.250 0.870 0.130


Sm2AgSe (PBE, relaxed); E above lowest polymorph = 168 meV per atom; V = 27.56 Å³/atom; SG = R3m, No. 160
1.0
4.061 0.000 0.000
2.031 3.517 0.000
2.031 1.172 7.718
Sm Ag Se
2 1 1
direct
0.084 0.084 0.749
0.250 0.250 0.250
0.668 0.668 0.997
0.499 0.499 0.503


Sm3AgSe4 (PBE, relaxed); V = 25.51 Å³/atom; SG = R-3m, No. 166
1.0
-1.265 -4.001 0.291
0.245 -2.021 3.681
-12.629 2.102 4.400
Sm Ag Se
3 1 4
direct
0.749 0.749 0.754
0.500 0.500 0.500
0.251 0.251 0.246
0.000 0.000 0.000
0.626 0.626 0.123
0.876 0.876 0.372
0.374 0.374 0.877
0.124 0.124 0.628


Sm2AgSe (PBE, relaxed); E above lowest polymorph = 188 meV per atom; V = 24.63 Å³/atom; SG = P4/mmm, No. 123
1.0
-0.132 -3.537 1.034
-0.176 -1.027 -3.537
7.233 -0.346 -0.260
Se Ag Sm
1 1 2
direct
0.500 0.500 0.000
0.500 0.500 0.500
0.000 0.000 0.755
0.000 0.000 0.245


Sm3Ag5Se12 (PBE, relaxed); V = 26.71 Å³/atom; SG = Ia-3d, No. 230
1.0
-0.540 -14.043 0.051
9.936 4.339 8.943
-12.450 5.181 3.957
Sm Ag Se
12 20 48
direct
0.750 0.375 0.125
0.875 0.750 0.125
0.375 0.750 0.625
0.250 0.125 0.375
0.875 0.125 0.250
0.375 0.625 0.250
0.625 0.375 0.750
0.125 0.875 0.750
0.750 0.875 0.625
0.625 0.250 0.375
0.125 0.250 0.875
0.250 0.625 0.875
0.125 0.375 0.250
0.000 0.500 0.000
0.000 0.000 0.000
0.375 0.250 0.125
0.500 0.000 0.500
0.500 0.500 0.000
0.125 0.750 0.375
0.750 0.125 0.875
0.750 0.625 0.375
0.375 0.125 0.750
0.625 0.875 0.250
0.500 0.500 0.500
0.500 0.000 0.000
0.000 0.000 0.500
0.250 0.375 0.625
0.250 0.875 0.125
0.000 0.500 0.500
0.875 0.250 0.625
0.625 0.750 0.875
0.875 0.625 0.750
0.714 0.133 0.046
0.332 0.546 0.413
0.954 0.367 0.286
0.546 0.214 0.133
0.581 0.714 0.668
0.954 0.587 0.168
0.332 0.786 0.419
0.087 0.919 0.133
0.587 0.954 0.668
0.714 0.581 0.168
0.786 0.454 0.367
0.832 0.913 0.046
0.133 0.714 0.546
0.367 0.413 0.081
0.081 0.913 0.367
0.419 0.133 0.587
0.081 0.168 0.214
0.454 0.668 0.087
0.832 0.919 0.286
0.133 0.419 0.087
0.367 0.954 0.786
0.587 0.633 0.419
0.913 0.832 0.546
0.786 0.332 0.919
0.413 0.367 0.581
0.087 0.168 0.454
0.214 0.668 0.081
0.168 0.081 0.714
0.633 0.046 0.214
0.867 0.581 0.913
0.546 0.332 0.913
0.581 0.867 0.413
0.919 0.832 0.786
0.919 0.087 0.633
0.867 0.286 0.454
0.168 0.087 0.954
0.633 0.587 0.919
0.413 0.046 0.332
0.286 0.419 0.832
0.214 0.546 0.633
0.913 0.081 0.867
0.668 0.214 0.581
0.454 0.786 0.867
0.046 0.413 0.832
0.419 0.286 0.332
0.046 0.633 0.714
0.668 0.454 0.587
0.286 0.867 0.954


SmAg2Se2 (PBE, relaxed); V = 23.86 Å³/atom; SG = C2/c, No. 15
1.0
7.491 0.806 1.163
-2.539 5.329 0.373
-2.539 -1.521 5.121
Sm Ag Se
2 4 4
direct
0.250 0.838 0.162
0.750 0.162 0.838
0.000 0.500 0.500
0.000 0.000 0.500
0.500 0.500 0.500
0.500 0.500 0.000
0.186 0.313 0.117
0.814 0.687 0.883
0.314 0.883 0.687
0.686 0.117 0.313


SmAgSe2 (PBE, relaxed); V = 32.96 Å³/atom; SG = R-3m, No. 166
1.0
-3.401 -2.677 0.567
0.664 -4.160 1.145
-1.253 -0.212 8.280
Se Ag Sm
2 1 1
direct
0.104 0.104 0.689
0.896 0.896 0.311
0.000 0.000 0.000
0.500 0.500 0.500


Sm2AgSe (PBE, relaxed); E above lowest polymorph = 0 meV per atom; V = 26.40 Å³/atom; SG = Cmcm, No. 63
1.0
-0.394 -3.619 2.206
3.933 -0.972 -0.890
1.668 6.125 10.345
Sm Ag Se
4 2 2
direct
0.750 0.686 0.371
0.250 0.314 0.629
0.750 0.929 0.859
0.250 0.071 0.141
0.250 0.458 0.917
0.750 0.542 0.083
0.250 0.193 0.385
0.750 0.807 0.615


Sm4Ag2Se7 (PBE, relaxed); V = 26.57 Å³/atom; SG = Pc, No. 7
1.0
-6.445 -9.877 -4.639
4.017 0.311 -6.244
6.367 -4.474 0.679
Sm Ag Se
8 4 14
direct
0.773 0.808 0.775
0.050 0.471 0.946
0.950 0.471 0.446
0.227 0.808 0.275
0.139 0.025 0.734
0.861 0.025 0.234
0.633 0.521 0.237
0.367 0.521 0.737
0.297 0.300 0.243
0.529 0.900 0.610
0.471 0.900 0.110
0.703 0.300 0.743
0.021 0.784 0.123
0.979 0.784 0.623
0.835 0.450 0.100
0.165 0.450 0.600
0.311 0.131 0.973
0.931 0.190 0.816
0.328 0.955 0.533
0.672 0.955 0.033
0.069 0.190 0.316
0.753 0.660 0.470
0.421 0.555 0.357
0.247 0.660 0.970
0.579 0.555 0.857
0.689 0.131 0.473


Sm3AgSe2 (PBE, relaxed); V = 26.52 Å³/atom; SG = Fddd, No. 70
1.0
-1.785 5.475 4.528
-1.003 -6.373 3.472
13.209 0.858 0.163
Sm Ag Se
12 4 8
direct
0.168 0.658 0.838
0.670 0.180 0.838
0.082 0.092 0.662
0.580 0.570 0.662
0.989 0.489 0.500
0.511 0.011 0.500
0.430 0.420 0.338
0.908 0.918 0.338
0.820 0.330 0.162
0.342 0.832 0.162
0.261 0.261 0.000
0.739 0.739 0.000
0.916 0.916 0.832
0.334 0.834 0.668
0.166 0.666 0.332
0.084 0.084 0.168
0.001 0.501 0.002
0.417 0.417 0.833
0.833 0.333 0.667
0.249 0.249 0.498
0.751 0.751 0.502
0.667 0.167 0.333
0.583 0.583 0.167
0.499 0.999 0.998


SmAg5Se4 (PBE, relaxed); V = 24.51 Å³/atom; SG = Immm, No. 71
1.0
4.177 0.000 -1.064
-0.897 6.895 -3.519
-0.046 -0.047 8.548
Sm Ag Se
1 5 4
direct
0.500 0.000 0.000
0.818 0.039 0.636
0.818 0.597 0.636
0.182 0.403 0.364
0.182 0.961 0.364
0.500 0.500 0.000
0.000 0.734 0.000
0.294 0.794 0.587
0.706 0.206 0.413
0.000 0.266 0.000


Sm2AgSe (PBE, relaxed); E above lowest polymorph = 578 meV per atom; V = 30.87 Å³/atom; SG = R-3m, No. 166
1.0
3.846 0.000 0.000
1.923 3.330 0.000
1.923 1.110 9.641
Se Ag Sm
1 1 2
direct
0.500 0.500 0.500
0.000 0.000 0.000
0.104 0.104 0.688
0.896 0.896 0.312


Sm3AgSe (PBE, relaxed); V = 28.81 Å³/atom; SG = Pnma, No. 62
1.0
3.998 0.000 0.000
0.000 9.168 0.000
0.000 0.000 15.720
Sm Ag Se
12 4 4
direct
0.250 0.347 0.552
0.750 0.821 0.214
0.750 0.517 0.891
0.750 0.017 0.609
0.750 0.653 0.448
0.250 0.983 0.391
0.250 0.847 0.948
0.750 0.321 0.286
0.250 0.679 0.714
0.250 0.179 0.786
0.750 0.153 0.052
0.250 0.483 0.109
0.750 0.902 0.803
0.250 0.098 0.197
0.750 0.402 0.697
0.250 0.598 0.303
0.250 0.311 0.953
0.250 0.811 0.547
0.750 0.189 0.453
0.750 0.689 0.047


Sm4AgSe5 (PBE, relaxed); V = 25.56 Å³/atom; SG = R-3m, No. 166
1.0
-0.269 -4.172 -0.254
0.203 -2.328 3.476
-16.737 -1.187 2.706
Sm Ag Se
4 1 5
direct
0.899 0.899 0.304
0.300 0.300 0.101
0.700 0.700 0.899
0.101 0.101 0.696
0.500 0.500 0.500
0.401 0.401 0.797
0.000 0.000 0.000
0.599 0.599 0.203
0.801 0.801 0.598
0.199 0.199 0.402


SmAgSe (PBE, relaxed); V = 28.62 Å³/atom; SG = R-3m, No. 166
1.0
4.813 0.000 0.000
2.407 4.169 0.000
2.407 1.390 8.557
Se Sm Ag
2 2 2
direct
0.379 0.379 0.862
0.621 0.621 0.138
0.262 0.262 0.214
0.738 0.738 0.786
0.143 0.143 0.571
0.857 0.857 0.429


SmAg2SnSe4 (PBE, relaxed); V = 24.50 Å³/atom; SG = P2/m, No. 10
1.0
-3.343 -1.479 2.017
1.926 -6.447 -1.535
4.308 -2.648 5.199
Sm Ag Sn Se
1 2 1 4
direct
0.000 0.500 0.500
0.000 0.000 0.000
0.500 0.000 0.500
0.500 0.500 0.000
0.000 0.758 0.751
0.000 0.242 0.249
0.500 0.752 0.245
0.500 0.248 0.755


Sm2Ag3SnSe6 (PBE, relaxed); V = 25.11 Å³/atom; SG = C2/m, No. 12
1.0
-4.121 0.180 0.398
-0.632 -7.137 -3.310
2.820 -2.568 8.783
Sm Ag Sn Se
2 3 1 6
direct
0.830 0.678 0.660
0.170 0.322 0.340
0.500 0.500 0.000
0.807 0.177 0.614
0.193 0.823 0.386
0.500 0.000 0.000
0.341 0.943 0.683
0.669 0.584 0.339
0.659 0.057 0.317
0.007 0.264 0.015
0.993 0.736 0.985
0.331 0.416 0.661


Summary of formation energy from raw total energies in meV/atom
-1080, -737, -606, -871, -1484, -850, -545, -672, -1149, -1039, -1412, -1268, -480, -460, -765, -1550, -896, -708, -853
(order as listed above)
Summary of E_tot in eV/atom
-4.72, -4.22, -4.09, -4.81, -5.35, -4.79, -4.06, -4.15, -4.78, -4.98, -5.18, -5.26, -3.77, -4.40, -4.86, -5.47, -4.58, -4.25, -4.43
(order as listed above)